Arrangement 1

## AsSBr3 (PBE-GGA)

Data for an optimized crystal structure of AsSBr3.

Properties
* V: 41.5 Å³ per atom

a b c (Å): 7.255 8.584 7.403
angles (deg): 90.00 115.88 90.00
Space group P2_1/m (No. 11)
Inequivalent atoms, fractional coordinates:
1 As 0.072 0.250 0.066 (multiplicity 2)
2 S 0.313 0.250 0.948 (multiplicity 2)
3 Br 0.190 0.041 0.305 (multiplicity 4)
4 Br 0.384 0.750 0.794 (multiplicity 2)

---

Arrangement 2

## AsSBr3 (PBE-GGA)

Data for an optimized crystal structure of AsSBr3.

Properties
* V: 28.0 Å³ per atom

a b c (Å): 5.194 5.194 5.194
angles (deg): 90.00 90.00 90.00
Space group Pm-3m (No. 221)
Inequivalent atoms, fractional coordinates:
1 As 0.000 0.000 0.000 (multiplicity 1)
2 S 0.500 0.500 0.500 (multiplicity 1)
3 Br 0.000 0.500 0.500 (multiplicity 3)

---

Arrangement 3

## AsSBr3 (PBE-GGA)

Data for an optimized crystal structure of AsSBr3.

Properties
* V: 30.0 Å³ per atom

a b c (Å): 5.311 5.311 5.311
angles (deg): 90.00 90.00 90.00
Space group Pm-3m (No. 221)
Inequivalent atoms, fractional coordinates:
1 As 0.000 0.000 0.000 (multiplicity 1)
2 S 0.500 0.500 0.500 (multiplicity 1)
3 Br 0.000 0.000 0.500 (multiplicity 3)

---

Bottom line: arrangement 1, by a margin of 0.594 eV/atom.

---

Arrangement 1

## SbAs2SBr (PBE-GGA)

Data for an optimized crystal structure of SbAs2SBr.

Properties
* V: 31.5 Å³ per atom

a b c (Å): 5.434 5.434 5.336
angles (deg): 90.00 90.00 90.00
Space group P4/mmm (No. 123)
Inequivalent atoms, fractional coordinates:
1 Sb 0.000 0.000 0.000 (multiplicity 1)
2 As 0.000 0.500 0.000 (multiplicity 2)
3 S 0.500 0.500 0.500 (multiplicity 1)
4 Br 0.000 0.000 0.500 (multiplicity 1)

---

Arrangement 2

## SbAs2SBr (PBE-GGA)

Data for an optimized crystal structure of SbAs2SBr.

Properties
* V: 24.2 Å³ per atom

a b c (Å): 4.993 4.993 4.854
angles (deg): 90.00 90.00 90.00
Space group P4/mmm (No. 123)
Inequivalent atoms, fractional coordinates:
1 Sb 0.000 0.000 0.000 (multiplicity 1)
2 As 0.000 0.500 0.500 (multiplicity 2)
3 S 0.500 0.500 0.500 (multiplicity 1)
4 Br 0.500 0.500 0.000 (multiplicity 1)

---

Bottom line: arrangement 2, by a margin of 0.369 eV/atom.

---

Arrangement 1

## As2SeSBr (PBE-GGA)

Data for an optimized crystal structure of As2SeSBr.

Properties
* V: 23.9 Å³ per atom

a b c (Å): 4.976 4.976 4.818
angles (deg): 90.00 90.00 90.00
Space group P4/mmm (No. 123)
Inequivalent atoms, fractional coordinates:
1 As 0.000 0.500 0.000 (multiplicity 2)
2 Se 0.000 0.000 0.500 (multiplicity 1)
3 S 0.000 0.000 0.000 (multiplicity 1)
4 Br 0.500 0.500 0.500 (multiplicity 1)

---

Arrangement 2

## As2SeSBr (PBE-GGA)

Data for an optimized crystal structure of As2SeSBr.

Properties
* V: 26.7 Å³ per atom

a b c (Å): 5.216 5.216 4.901
angles (deg): 90.00 90.00 90.00
Space group P4/mmm (No. 123)
Inequivalent atoms, fractional coordinates:
1 As 0.000 0.500 0.000 (multiplicity 2)
2 Se 0.000 0.000 0.500 (multiplicity 1)
3 S 0.500 0.500 0.500 (multiplicity 1)
4 Br 0.000 0.000 0.000 (multiplicity 1)

---

Arrangement 3

## As2SeSBr (PBE-GGA)

Data for an optimized crystal structure of As2SeSBr.

Properties
* V: 26.9 Å³ per atom

a b c (Å): 5.197 5.197 4.987
angles (deg): 90.00 90.00 90.00
Space group P4/mmm (No. 123)
Inequivalent atoms, fractional coordinates:
1 As 0.000 0.500 0.000 (multiplicity 2)
2 Se 0.000 0.000 0.000 (multiplicity 1)
3 S 0.500 0.500 0.500 (multiplicity 1)
4 Br 0.000 0.000 0.500 (multiplicity 1)

---

Bottom line: arrangement 1, by a margin of 0.280 eV/atom.

---

Arrangement 1

## SiAs2SBr (PBE-GGA)

Data for an optimized crystal structure of SiAs2SBr.

Properties
* V: 22.8 Å³ per atom

a b c (Å): 4.909 4.909 4.734
angles (deg): 90.00 90.00 90.00
Space group P4/mmm (No. 123)
Inequivalent atoms, fractional coordinates:
1 Si 0.000 0.000 0.000 (multiplicity 1)
2 As 0.000 0.500 0.000 (multiplicity 2)
3 S 0.500 0.500 0.500 (multiplicity 1)
4 Br 0.000 0.000 0.500 (multiplicity 1)

---

Arrangement 2

## SiAs2SBr (PBE-GGA)

Data for an optimized crystal structure of SiAs2SBr.

Properties
* V: 23.9 Å³ per atom

a b c (Å): 4.852 4.852 5.082
angles (deg): 90.00 90.00 90.00
Space group P4/mmm (No. 123)
Inequivalent atoms, fractional coordinates:
1 Si 0.000 0.000 0.000 (multiplicity 1)
2 As 0.000 0.500 0.500 (multiplicity 2)
3 S 0.500 0.500 0.500 (multiplicity 1)
4 Br 0.500 0.500 0.000 (multiplicity 1)

---

Bottom line: arrangement 1, by a margin of 0.178 eV/atom.

---

Arrangement 1

## SnAs2SBr (PBE-GGA)

Data for an optimized crystal structure of SnAs2SBr.

Properties
* V: 25.1 Å³ per atom

a b c (Å): 4.883 4.883 5.262
angles (deg): 90.00 90.00 90.00
Space group P4/mmm (No. 123)
Inequivalent atoms, fractional coordinates:
1 Sn 0.000 0.000 0.000 (multiplicity 1)
2 As 0.000 0.500 0.500 (multiplicity 2)
3 S 0.500 0.500 0.500 (multiplicity 1)
4 Br 0.500 0.500 0.000 (multiplicity 1)

---

Arrangement 2

## SnAs2SBr (PBE-GGA)

Data for an optimized crystal structure of SnAs2SBr.

Properties
* V: 30.7 Å³ per atom

a b c (Å): 5.394 5.394 5.273
angles (deg): 90.00 90.00 90.00
Space group P4/mmm (No. 123)
Inequivalent atoms, fractional coordinates:
1 Sn 0.000 0.000 0.000 (multiplicity 1)
2 As 0.000 0.500 0.000 (multiplicity 2)
3 S 0.500 0.500 0.500 (multiplicity 1)
4 Br 0.000 0.000 0.500 (multiplicity 1)

---

Bottom line: arrangement 1, by a margin of 0.422 eV/atom.

---

Arrangement 1

## SrAs2SBr (PBE-GGA)

Data for an optimized crystal structure of SrAs2SBr.

Properties
* V: 29.6 Å³ per atom

a b c (Å): 4.715 4.715 6.654
angles (deg): 90.00 90.00 90.00
Space group P4/mmm (No. 123)
Inequivalent atoms, fractional coordinates:
1 Sr 0.000 0.000 0.000 (multiplicity 1)
2 As 0.000 0.500 0.500 (multiplicity 2)
3 S 0.500 0.500 0.500 (multiplicity 1)
4 Br 0.500 0.500 0.000 (multiplicity 1)

---

Arrangement 2

## SrAs2SBr (PBE-GGA)

Data for an optimized crystal structure of SrAs2SBr.

Properties
* V: 48.1 Å³ per atom

a b c (Å): 6.388 6.388 5.892
angles (deg): 90.00 90.00 90.00
Space group P4/mmm (No. 123)
Inequivalent atoms, fractional coordinates:
1 Sr 0.000 0.000 0.000 (multiplicity 1)
2 As 0.000 0.500 0.000 (multiplicity 2)
3 S 0.500 0.500 0.500 (multiplicity 1)
4 Br 0.000 0.000 0.500 (multiplicity 1)

---

Bottom line: arrangement 1, by a margin of 1.058 eV/atom.